# NaBe2IO6

Crystalline NaBe2IO6 at its relaxed geometry (PBE, Alexandria via LeMat-Bulk).

Output
As for the space group: C2/c (15). The value obtained for the density of states at the Fermi level is 0.0 states/eV/cell. Its formation energy from raw total energies is -1.44 eV/atom. As for the spin magnetization: 0.000 μB/atom.

Cell and atoms, written as CIF:
```
data_NaBe2IO6
_chemical_formula_sum 'Na2 Be4 I2 O12'
_cell_length_a 5.842
_cell_length_b 6.415
_cell_length_c 6.415
_cell_angle_alpha 87.06
_cell_angle_beta 76.48
_cell_angle_gamma 76.48
_symmetry_space_group_name_H-M 'P 1'
_symmetry_Int_Tables_number 1
loop_
_symmetry_equiv_pos_as_xyz
'x,y,z'
loop_
_atom_site_label
_atom_site_fract_x
_atom_site_fract_y
_atom_site_fract_z
Na1 0.250 0.906 0.094
Na2 0.750 0.094 0.906
Be1 0.367 0.770 0.621
Be2 0.133 0.379 0.230
Be3 0.633 0.230 0.379
Be4 0.867 0.621 0.770
I1 0.250 0.284 0.716
I2 0.750 0.716 0.284
O1 0.220 0.994 0.740
O2 0.280 0.260 0.006
O3 0.780 0.006 0.260
O4 0.720 0.740 0.994
O5 0.417 0.769 0.363
O6 0.083 0.637 0.231
O7 0.583 0.231 0.637
O8 0.917 0.363 0.769
O9 0.191 0.601 0.720
O10 0.309 0.280 0.399
O11 0.809 0.399 0.280
O12 0.691 0.720 0.601
```